Entry 1:
ZrOs2Rh after structural relaxation, computed with GGA-PBEsol.

As for the total magnetic moment: 0.000 μB per cell. The calculation puts the energy above the most stable polymorph in this dataset at 0 meV per atom.

It has space group P4/mmm (No. 123), with a = 3.878 Å, b = 3.878 Å, c = 4.034 Å, α = 90.00°, β = 90.00° and γ = 90.00°. The distinct sites, in fractional coordinates, are Zr at (0.000, 0.000, 0.000), Os at (0.000, 0.500, 0.500) and Rh at (0.500, 0.500, 0.000).


Entry 2:
BeBrNO2 after structural relaxation, computed with GGA-PBEsol.

As for the total magnetic moment: 0.000 μB per cell. The value obtained for the uncorrected formation energy is 0.322 eV per atom.

It has space group P4/mmm (No. 123), with a = 3.128 Å, b = 3.128 Å, c = 6.234 Å, α = 90.00°, β = 90.00° and γ = 90.00°. The distinct sites, in fractional coordinates, are Be at (0.000, 0.000, 0.000), Br at (0.500, 0.500, 0.500), N at (0.000, 0.000, 0.500) and O at (0.000, 0.500, 0.000).


Entry 3:
La2YAl after structural relaxation, computed with GGA-PBEsol.

As for the total magnetic moment: 0.000 μB per cell. The value obtained for the raw total energy is -5.552 eV per atom.

It has space group Pmm2 (No. 25), with a = 3.505 Å, b = 4.462 Å, c = 7.076 Å, α = 90.00°, β = 90.00° and γ = 90.00°. The distinct sites, in fractional coordinates, are La at (0.000, 0.000, 0.000), La at (0.500, 0.500, 0.265), Y at (0.000, 0.000, 0.555) and Al at (0.500, 0.500, 0.758).


Entry 4:
LaHgBr after structural relaxation, computed with GGA-PBEsol.

As for the total magnetic moment: 0.002 μB per cell. The value obtained for the uncorrected formation energy is -0.712 eV per atom.

It has space group F-43m (No. 216), with a = 7.186 Å, b = 7.186 Å, c = 7.186 Å, α = 90.00°, β = 90.00° and γ = 90.00°. The distinct sites, in fractional coordinates, are La at (0.000, 0.000, 0.000), Hg at (0.250, 0.250, 0.750) and Br at (0.250, 0.250, 0.250).


Entry 5:
Na3SrSn after structural relaxation, computed with GGA-PBEsol.

As for the total magnetic moment: 0.000 μB per cell. The calculation puts the energy above the most stable polymorph in this dataset at 0 meV per atom.

It has space group Pm-3m (No. 221), with a = 5.835 Å, b = 5.835 Å, c = 5.835 Å, α = 90.00°, β = 90.00° and γ = 90.00°. The distinct sites, in fractional coordinates, are Na at (0.000, 0.000, 0.500), Sr at (0.500, 0.500, 0.500) and Sn at (0.000, 0.000, 0.000).


Entry 6:
AuS3O after structural relaxation, computed with GGA-PBEsol.

As for the total magnetic moment: 4.869 μB per cell. The value obtained for the uncorrected formation energy is 1.396 eV per atom.

It has space group Pm-3m (No. 221), with a = 4.803 Å, b = 4.803 Å, c = 4.803 Å, α = 90.00°, β = 90.00° and γ = 90.00°. The distinct sites, in fractional coordinates, are Au at (0.000, 0.000, 0.000), S at (0.000, 0.000, 0.500) and O at (0.500, 0.500, 0.500).


Entry 7:
TiNiPd3 after structural relaxation, computed with GGA-PBEsol.

As for the total magnetic moment: 0.005 μB per cell. The value obtained for the raw total energy is -5.587 eV per atom.

It has space group Pm-3m (No. 221), with a = 4.490 Å, b = 4.490 Å, c = 4.490 Å, α = 90.00°, β = 90.00° and γ = 90.00°. The distinct sites, in fractional coordinates, are Ti at (0.000, 0.000, 0.000), Ni at (0.500, 0.500, 0.500) and Pd at (0.000, 0.000, 0.500).


Entry 8:
LiCoB2O5 after structural relaxation, computed with GGA-PBEsol.

As for the total magnetic moment: 32.043 μB per cell. The value obtained for the uncorrected formation energy is -1.873 eV per atom.

It has space group C2/c (No. 15), with a = 10.162 Å, b = 10.131 Å, c = 9.456 Å, α = 90.00°, β = 120.37° and γ = 90.00°. The distinct sites, in fractional coordinates, are Li at (0.000, 0.103, 0.250), Li at (0.000, 0.323, 0.750), Co at (0.197, 0.339, 0.146), B at (0.063, 0.160, 0.524), B at (0.232, 0.490, 0.899), O at (0.062, 0.205, 0.116), O at (0.108, 0.202, 0.678), O at (0.141, 0.063, 0.487), O at (0.156, 0.482, 0.236) and O at (0.183, 0.386, 0.953).


Entry 9:
Nd2CdGe2 after structural relaxation, computed with GGA-PBEsol.

As for the total magnetic moment: 0.000 μB per cell. The value obtained for the raw total energy is -5.057 eV per atom.

It has space group P4/mbm (No. 127), with a = 7.384 Å, b = 7.384 Å, c = 4.289 Å, α = 90.00°, β = 90.00° and γ = 90.00°. The distinct sites, in fractional coordinates, are Nd at (0.179, 0.321, 0.000), Cd at (0.000, 0.000, 0.500) and Ge at (0.120, 0.620, 0.500).


Entry 10:
Tl2CrRe after structural relaxation, computed with GGA-PBEsol.

As for the total magnetic moment: 0.003 μB per cell. The calculation puts the energy above the most stable polymorph in this dataset at 0 meV per atom.

It has space group R3m (No. 160, hexagonal axes), with a = 3.1272 Å, b = 3.1272 Å, c = 27.4316 Å, α = 90.00°, β = 90.00° and γ = 120.00°. The distinct sites, in fractional coordinates, are Tl at (0.0000, 0.0000, 0.0000), Tl at (0.0000, 0.0000, 0.2310), Cr at (0.0000, 0.0000, 0.4786) and Re at (0.0000, 0.0000, 0.7586).


Entry 11:
MgCd2Mo after structural relaxation, computed with GGA-PBEsol.

As for the total magnetic moment: 0.001 μB per cell. The value obtained for the raw total energy is -3.556 eV per atom.

It has space group Immm (No. 71), with a = 2.987 Å, b = 4.932 Å, c = 9.992 Å, α = 90.00°, β = 90.00° and γ = 90.00°. The distinct sites, in fractional coordinates, are Mg at (0.000, 0.000, 0.000), Cd at (0.000, 0.500, 0.247) and Mo at (0.000, 0.000, 0.500).


Entry 12:
CuW2Au after structural relaxation, computed with GGA-PBEsol.

As for the total magnetic moment: 0.000 μB per cell. The calculation puts the energy above the most stable polymorph in this dataset at 321 meV per atom.

It has space group F-43m (No. 216), with a = 6.245 Å, b = 6.245 Å, c = 6.245 Å, α = 90.00°, β = 90.00° and γ = 90.00°. The distinct sites, in fractional coordinates, are Cu at (0.000, 0.000, 0.000), W at (0.000, 0.000, 0.500), W at (0.250, 0.250, 0.750) and Au at (0.250, 0.250, 0.250).